#w
This record from Alexandria describes BeB3Au after structural relaxation. The functional is PBE-GGA.

Calculated values
ρ: 5.41 g/cm3
calculated volume: 73 Å³ per cell
magnetization: 0.00 μB/f.u.
symmetry: Pm-3m

Lattice parameters (Å, degrees): 4.1820 4.1820 4.1820 90.00 90.00 90.00
Sites, in units of the cell vectors:
Be: 0.0000 0.0000 0.0000
B: 0.0000 0.5000 0.5000
B: 0.5000 0.0000 0.5000
B: 0.5000 0.5000 0.0000
Au: 0.5000 0.5000 0.5000



#x
This record from Alexandria describes BeB3Au after structural relaxation. The functional is PBE-GGA.

Calculated values
ρ: 7.35 g/cm3
calculated volume: 54 Å³ per cell
magnetization: 0.00 μB/f.u.
symmetry: Pm-3m

Lattice parameters (Å, degrees): 3.7758 3.7758 3.7758 90.00 90.00 90.00
Sites, in units of the cell vectors:
Be: 0.0000 0.0000 0.0000
B: 0.0000 0.0000 0.5000
B: 0.0000 0.5000 0.0000
B: 0.5000 0.0000 0.0000
Au: 0.5000 0.5000 0.5000



The data favor #x; the next most stable structure lies 50.9 kJ/mol of atoms above it.